The following is a PBE calculation of an optimized crystal structure of BaSrYCu4O8, from Alexandria.

a b c (Å): 3.8224 13.7960 13.7960
angles (deg): 16.18 90.00 90.00
Sites, in units of the cell vectors:
Ba 0.0000 0.0000 0.0000
Sr 0.0000 0.2724 0.2724
Y 0.0000 0.1386 0.1386
Cu 0.5000 0.4213 0.4213
Cu 0.5000 0.5763 0.5763
Cu 0.5000 0.7018 0.7018
Cu 0.5000 0.8476 0.8476
O 0.0000 0.5861 0.5861
O 0.0000 0.6915 0.6915
O 0.5000 0.0859 0.0859
O 0.5000 0.1924 0.1924
O 0.5000 0.3513 0.3513
O 0.5000 0.4892 0.4892
O 0.5000 0.7804 0.7804
O 0.5000 0.9168 0.9168

Computed properties:
As for the density: 5.70 g/cm3. The symmetry is Amm2, No. 38. The value obtained for the formation energy from raw total energies is -1.68 eV/atom.